(1)
A relaxed structure of Li2LaGePd. Source: Alexandria via LeMat-Bulk, functional GGA-PBE.

Crystal system   tetragonal
Volume   105.7 Å³/cell
Theoretical density   5.21 g cm⁻³
ΔE to the lowest computed polymorph   0.0 kJ per mole of atoms
DFT formation energy   -390 meV/atom
DOS at the Fermi energy   0.75 states/eV per atom

Lattice parameters (Å, degrees): 4.6840 4.6840 4.8192 90.00 90.00 90.00
Positions (direct):
Ge1 0.0000 0.0000 0.5000
Li1 0.0000 0.5000 0.0000
Li2 0.5000 0.0000 0.0000
Pd1 0.0000 0.0000 0.0000
La1 0.5000 0.5000 0.5000

=====

(2)
A relaxed structure of LiLaGePd. Source: Alexandria via LeMat-Bulk, functional GGA-PBE.

Crystal system   cubic
Volume   77.7 Å³/cell
Theoretical density   6.95 g cm⁻³
DFT formation energy   -661 meV/atom

Lattice parameters (Å, degrees): 4.7894 4.7894 4.7894 60.00 60.00 60.00
Positions (direct):
Ge1 0.2500 0.2500 0.2500
Li1 0.5000 0.5000 0.5000
Pd1 0.0000 0.0000 0.0000
La1 0.7500 0.7500 0.7500

=====

(3)
A relaxed structure of LiLa3Ge6Pd2. Source: Alexandria via LeMat-Bulk, functional GGA-PBE.

Crystal system   trigonal
Volume   270.3 Å³/cell
Theoretical density   6.59 g cm⁻³
DFT formation energy   -519 meV/atom
DOS at the Fermi energy   0.39 states/eV per atom

Lattice parameters (Å, degrees): 6.1550 6.1550 8.2391 90.00 90.00 120.00
Positions (direct):
Li1 0.0000 0.0000 0.5000
La1 0.3333 0.6667 0.6371
La2 0.6667 0.3333 0.3629
La3 0.0000 0.0000 0.0000
Ge1 0.6153 0.8077 0.2900
Ge2 0.1923 0.3847 0.2900
Ge3 0.1923 0.8077 0.2900
Ge4 0.8077 0.6153 0.7100
Ge5 0.3847 0.1923 0.7100
Ge6 0.8077 0.1923 0.7100
Pd1 0.6667 0.3333 0.9659
Pd2 0.3333 0.6667 0.0341